(1)
# YCdPd5

An optimized crystal structure of YCdPd5 (PBE, Alexandria via LeMat-Bulk).

Calculated values
**Uncorrected energy**: -5.242 eV per atom
**Volume**: 18.8 A^3/atom

a = 4.0760 Å, b = 4.0761 Å, c = 7.9419 Å
α = 90.00°, β = 90.00°, γ = 90.00°
Atoms (fractional coordinates):
Pd: 0.5000 0.5000 0.5000
Cd: 0.5000 0.5000 0.0000
Y: 0.0000 0.0000 0.5000
Pd: 0.5000 0.0000 0.7606
Pd: 0.0000 0.5000 0.7606
Pd: 0.5000 0.0000 0.2394
Pd: 0.0000 0.5000 0.2394

***

(2)
# Rb3Ce2CuS6

An optimized crystal structure of Rb3Ce2CuS6 (PBE, Alexandria via LeMat-Bulk).

Calculated values
**Formation energy from raw total energies**: -16.21 eV/f.u.
**Volume**: 28.1 A^3/atom

a = 7.3632 Å, b = 7.3632 Å, c = 7.8487 Å
α = 97.17°, β = 97.17°, γ = 124.72°
Atoms (fractional coordinates):
S: 0.5607 0.9394 0.7925
Ce: 0.3351 0.6649 0.0000
Rb: 0.5000 0.5000 0.5000
S: 0.0606 0.4393 0.2075
S: 0.7576 0.7576 0.1554
S: 0.9394 0.5607 0.7925
Rb: 0.1508 0.8492 0.5000
Ce: 0.6649 0.3351 0.0000
S: 0.2424 0.2424 0.8446
Cu: 0.0000 0.0000 0.0000
S: 0.4393 0.0606 0.2075
Rb: 0.8492 0.1508 0.5000

***

(3)
# HoSiPt3

An optimized crystal structure of HoSiPt3 (PBE, Alexandria via LeMat-Bulk).

Calculated values
**Formation energy from raw total energies**: -3.98 eV/f.u.
**Volume**: 19.1 A^3/atom
**Polymorph energy (0 for the lowest one)**: 233 meV per atom

a = 5.0020 Å, b = 5.6788 Å, c = 6.7190 Å
α = 90.00°, β = 90.00°, γ = 90.00°
Atoms (fractional coordinates):
Si: 0.0000 0.5000 0.0000
Pt: 0.0000 0.3611 0.6730
Pt: 0.0000 0.8611 0.8270
Ho: 0.5000 0.0000 0.0000
Si: 0.0000 0.0000 0.5000
Pt: 0.5000 0.5000 0.0000
Ho: 0.5000 0.5000 0.5000
Pt: 0.0000 0.6389 0.3270
Pt: 0.5000 0.0000 0.5000
Pt: 0.0000 0.1389 0.1730

***

(4)
# Tb4NiHg3

An optimized crystal structure of Tb4NiHg3 (PBE, Alexandria via LeMat-Bulk).

Calculated values
**Uncorrected energy**: -3.594 eV per atom
**Volume**: 24.5 A^3/atom

a = 3.6011 Å, b = 3.6011 Å, c = 15.0882 Å
α = 90.00°, β = 90.00°, γ = 90.00°
Atoms (fractional coordinates):
Tb: 0.0000 0.0000 0.6304
Tb: 0.0000 0.0000 0.8933
Hg: 0.5000 0.5000 0.2413
Ni: 0.5000 0.5000 0.0000
Hg: 0.5000 0.5000 0.7587
Tb: 0.0000 0.0000 0.1067
Hg: 0.5000 0.5000 0.5000
Tb: 0.0000 0.0000 0.3696

***

(5)
# Pu2Ag2Pd3

An optimized crystal structure of Pu2Ag2Pd3 (PBE, Alexandria via LeMat-Bulk).

Calculated values
**Uncorrected energy**: -7.370 eV per atom
**Volume**: 19.5 A^3/atom

a = 4.8505 Å, b = 7.0706 Å, c = 5.5073 Å
α = 70.58°, β = 108.15°, γ = 129.46°
Atoms (fractional coordinates):
Ag: 0.6818 0.2780 0.8511
Pd: 0.5806 0.4185 0.2566
Pu: 0.0897 0.8280 0.5487
Pd: 0.0000 0.0000 0.0000
Pu: 0.9103 0.1720 0.4513
Pd: 0.4194 0.5815 0.7434
Ag: 0.3182 0.7220 0.1489

***

(6)
# LaRe

An optimized crystal structure of LaRe (PBE, Alexandria via LeMat-Bulk).

Calculated values
**Volume**: 21.2 A^3/atom
**Polymorph energy (0 for the lowest one)**: 449 meV per atom

a = 4.9309 Å, b = 4.9309 Å, c = 4.9309 Å
α = 60.00°, β = 60.00°, γ = 60.00°
Atoms (fractional coordinates):
Re: 0.5000 0.5000 0.5000
Re: 0.7500 0.7500 0.7500
La: 0.0000 0.0000 0.0000
La: 0.2500 0.2500 0.2500